Record 1
Density functional theory data (PBE) for a relaxed structure of Hg2PtSe.

relative energy among the computed polymorphs = 1.179 eV per formula unit
N(E_F) = 0.5019 states/eV per atom
E_tot = -18.3 eV per cell
formation energy from raw total energies = 0.25 eV/atom

a b c (Å): 5.7236 7.5436 3.7929
angles (deg): 90.00 90.00 90.00
Space group Cmmm (No. 65)
Symmetry-distinct sites (fractional):
Hg 0.2500 0.2500 0.0000 (multiplicity 4)
Pt 0.0000 0.0000 0.5000 (multiplicity 2)
Se 0.0000 0.5000 0.5000 (multiplicity 2)

Record 2
Density functional theory data (PBE) for a relaxed structure of KTi2CuSi.

N(E_F) = 1.1458 states/eV per atom
E_tot = -15.5 eV per cell
formation energy from raw total energies = 2.17 eV/atom

a b c (Å): 4.4506 4.4506 5.1261
angles (deg): 90.00 90.00 90.00
Space group P4/mmm (No. 123)
Symmetry-distinct sites (fractional):
K 0.0000 0.0000 0.0000 (multiplicity 1)
Ti 0.0000 0.5000 0.0000 (multiplicity 2)
Cu 0.5000 0.5000 0.5000 (multiplicity 1)
Si 0.0000 0.0000 0.5000 (multiplicity 1)

The lowest formation energy from raw total energies belongs to which entry? Hg2PtSe